CsNaAu2 | SCAN | PBEsol geometry

Lattice parameters (Å, degrees): 5.504 5.504 5.504 60.00 60.00 60.00
Element x y z (fractional)
1 Au 0.750 0.750 0.750
2 Au 0.250 0.250 0.250
3 Cs 0.500 0.500 0.500
4 Na 0.000 0.000 0.000

Results
Mass density   7.7 g cm⁻³
Uncorrected energy   -45.29 eV per atom
Space group   Fm-3m, No. 225